Entry 1:
Material: BeTlCuH2
Method: DFT, GGA-PBE
State: optimized geometry

Values from the calculation:
The value obtained for the total energy is -0.103 Ha/atom.

```
data_BeTlCuH2
_chemical_formula_sum 'Be1 Tl1 Cu1 H2'
_space_group_name_H-M_alt 'P 1'
_space_group_IT_number 1
_cell_length_a 3.5427
_cell_length_b 3.5427
_cell_length_c 4.9035
_cell_angle_alpha 90.00
_cell_angle_beta 90.00
_cell_angle_gamma 90.00
loop_
_space_group_symop_operation_xyz
'x,y,z'
loop_
_atom_site_label
_atom_site_fract_x
_atom_site_fract_y
_atom_site_fract_z
_atom_site_occupancy
Be1 0.0000 0.0000 0.0000 1
Tl1 0.5000 0.5000 0.0000 1
Cu1 0.0000 0.0000 0.5000 1
H1 0.0000 0.5000 0.5000 1
H2 0.5000 0.0000 0.5000 1
```

---

Entry 2:
Material: BeV2CuH
Method: DFT, GGA-PBE
State: optimized geometry

Values from the calculation:
The energy above the most stable polymorph in this dataset is 0.000 eV per atom.

```
data_BeV2CuH
_chemical_formula_sum 'Be1 V2 Cu1 H1'
_space_group_name_H-M_alt 'P 1'
_space_group_IT_number 1
_cell_length_a 3.6553
_cell_length_b 3.6553
_cell_length_c 3.7457
_cell_angle_alpha 90.00
_cell_angle_beta 90.00
_cell_angle_gamma 90.00
loop_
_space_group_symop_operation_xyz
'x,y,z'
loop_
_atom_site_label
_atom_site_fract_x
_atom_site_fract_y
_atom_site_fract_z
_atom_site_occupancy
Be1 0.0000 0.0000 0.0000 1
V1 0.0000 0.5000 0.5000 1
V2 0.5000 0.0000 0.5000 1
Cu1 0.5000 0.5000 0.0000 1
H1 0.5000 0.5000 0.5000 1
```

---

Entry 3:
Material: BeV2CuH
Method: DFT, GGA-PBE
State: optimized geometry

Values from the calculation:
The energy above the most stable polymorph in this dataset is 0.010 eV per atom.

```
data_BeV2CuH
_chemical_formula_sum 'Be1 V2 Cu1 H1'
_space_group_name_H-M_alt 'P 1'
_space_group_IT_number 1
_cell_length_a 3.6751
_cell_length_b 3.6751
_cell_length_c 3.6697
_cell_angle_alpha 90.00
_cell_angle_beta 90.00
_cell_angle_gamma 90.00
loop_
_space_group_symop_operation_xyz
'x,y,z'
loop_
_atom_site_label
_atom_site_fract_x
_atom_site_fract_y
_atom_site_fract_z
_atom_site_occupancy
Be1 0.0000 0.0000 0.0000 1
V1 0.0000 0.5000 0.5000 1
V2 0.5000 0.0000 0.5000 1
Cu1 0.5000 0.5000 0.0000 1
H1 0.0000 0.0000 0.5000 1
```

---

Entry 4:
Material: Zr2BeCuH
Method: DFT, GGA-PBE
State: optimized geometry

Values from the calculation:
The energy above the most stable polymorph in this dataset is 0.007 eV per atom.

```
data_Zr2BeCuH
_chemical_formula_sum 'Zr2 Be1 Cu1 H1'
_space_group_name_H-M_alt 'P 1'
_space_group_IT_number 1
_cell_length_a 4.5210
_cell_length_b 4.5210
_cell_length_c 3.3535
_cell_angle_alpha 90.00
_cell_angle_beta 90.00
_cell_angle_gamma 90.00
loop_
_space_group_symop_operation_xyz
'x,y,z'
loop_
_atom_site_label
_atom_site_fract_x
_atom_site_fract_y
_atom_site_fract_z
_atom_site_occupancy
Zr1 0.0000 0.5000 0.0000 1
Zr2 0.5000 0.0000 0.0000 1
Be1 0.0000 0.0000 0.5000 1
Cu1 0.5000 0.5000 0.5000 1
H1 0.0000 0.0000 0.0000 1
```

---

Entry 5:
Material: Zr2BeCuH
Method: DFT, GGA-PBE
State: optimized geometry

Values from the calculation:
The energy above the most stable polymorph in this dataset is 0.000 eV per atom.

```
data_Zr2BeCuH
_chemical_formula_sum 'Zr2 Be1 Cu1 H1'
_space_group_name_H-M_alt 'P 1'
_space_group_IT_number 1
_cell_length_a 4.4159
_cell_length_b 4.4159
_cell_length_c 3.5618
_cell_angle_alpha 90.00
_cell_angle_beta 90.00
_cell_angle_gamma 90.00
loop_
_space_group_symop_operation_xyz
'x,y,z'
loop_
_atom_site_label
_atom_site_fract_x
_atom_site_fract_y
_atom_site_fract_z
_atom_site_occupancy
Zr1 0.0000 0.5000 0.0000 1
Zr2 0.5000 0.0000 0.0000 1
Be1 0.0000 0.0000 0.5000 1
Cu1 0.5000 0.5000 0.5000 1
H1 0.5000 0.5000 0.0000 1
```

---

Entry 6:
Material: HfBeCu2
Method: DFT, GGA-PBE
State: optimized geometry

Values from the calculation:
The calculation puts the calculated formation energy at -0.157 eV per formula unit.

```
data_HfBeCu2
_chemical_formula_sum 'Hf1 Be1 Cu2'
_space_group_name_H-M_alt 'P 1'
_space_group_IT_number 1
_cell_length_a 2.8674
_cell_length_b 2.8674
_cell_length_c 6.4907
_cell_angle_alpha 90.00
_cell_angle_beta 90.00
_cell_angle_gamma 90.00
loop_
_space_group_symop_operation_xyz
'x,y,z'
loop_
_atom_site_label
_atom_site_fract_x
_atom_site_fract_y
_atom_site_fract_z
_atom_site_occupancy
Hf1 0.0000 0.0000 0.0000 1
Be1 0.0000 0.0000 0.5000 1
Cu1 0.5000 0.5000 0.3054 1
Cu2 0.5000 0.5000 0.6946 1
```

---

Entry 7:
Material: Hf4BeCu
Method: DFT, GGA-PBE
State: optimized geometry

Values from the calculation:
The calculation puts the calculated formation energy at -0.361 eV per formula unit.

```
data_Hf4BeCu
_chemical_formula_sum 'Hf8 Be2 Cu2'
_space_group_name_H-M_alt 'P 1'
_space_group_IT_number 1
_cell_length_a 6.6804
_cell_length_b 6.6804
_cell_length_c 4.8686
_cell_angle_alpha 90.00
_cell_angle_beta 90.00
_cell_angle_gamma 90.00
loop_
_space_group_symop_operation_xyz
'x,y,z'
loop_
_atom_site_label
_atom_site_fract_x
_atom_site_fract_y
_atom_site_fract_z
_atom_site_occupancy
Hf1 0.1508 0.3384 0.0000 1
Hf2 0.1508 0.6616 0.5000 1
Hf3 0.3384 0.1508 0.5000 1
Hf4 0.3384 0.8492 0.0000 1
Hf5 0.6616 0.1508 0.0000 1
Hf6 0.6616 0.8492 0.5000 1
Hf7 0.8492 0.3384 0.5000 1
Hf8 0.8492 0.6616 0.0000 1
Be1 0.0000 0.0000 0.2500 1
Be2 0.0000 0.0000 0.7500 1
Cu1 0.5000 0.5000 0.2500 1
Cu2 0.5000 0.5000 0.7500 1
```

---

Entry 8:
Material: Hf2BeCu
Method: DFT, GGA-PBE
State: optimized geometry

Values from the calculation:
The calculation puts the calculated formation energy at 1.775 eV per formula unit.

```
data_Hf2BeCu
_chemical_formula_sum 'Hf4 Be2 Cu2'
_space_group_name_H-M_alt 'P 1'
_space_group_IT_number 1
_cell_length_a 5.7270
_cell_length_b 5.7270
_cell_length_c 5.7270
_cell_angle_alpha 102.88
_cell_angle_beta 102.88
_cell_angle_gamma 123.66
loop_
_space_group_symop_operation_xyz
'x,y,z'
loop_
_atom_site_label
_atom_site_fract_x
_atom_site_fract_y
_atom_site_fract_z
_atom_site_occupancy
Hf1 0.1214 0.6250 0.9964 1
Hf2 0.3750 0.3714 0.4964 1
Hf3 0.6286 0.1250 0.0036 1
Hf4 0.8750 0.8786 0.5036 1
Be1 0.0000 0.0000 0.0000 1
Be2 0.7500 0.2500 0.5000 1
Cu1 0.2500 0.7500 0.5000 1
Cu2 0.5000 0.5000 0.0000 1
```